Record 1
The following is a GGA-PBE calculation of crystalline TbPaCo2 at its relaxed geometry, from the Alexandria database.

Cell and atoms, written as POSCAR:
```
TbPaCo2
1.0
4.734 0.000 0.000
0.000 4.734 0.000
0.000 0.000 3.288
Tb Pa Co
1 1 2
Direct
0.000 0.000 0.000
0.500 0.500 0.000
0.000 0.500 0.500
0.500 0.000 0.500
```

Computed properties:
As for the distance to the lowest polymorph of the same formula: 0.2453 eV per atom. Its space-group type is P4/mmm. Its formation energy is -0.128 eV per atom. The value obtained for the calculated total energy is -28.9 eV per cell.


Record 2
The following is a GGA-PBE calculation of crystalline TbPaCo2 at its relaxed geometry, from the Alexandria database.

Cell and atoms, written as POSCAR:
```
TbPaCo2
1.0
5.182 0.000 0.000
0.000 4.297 0.000
-2.361 0.000 6.776
Tb Pa Co
2 2 4
Direct
0.241 0.250 0.435
0.759 0.750 0.565
0.202 0.250 0.914
0.798 0.750 0.086
0.309 0.750 0.147
0.338 0.750 0.766
0.662 0.250 0.234
0.691 0.250 0.853
```

Computed properties:
As for the distance to the lowest polymorph of the same formula: 0.0000 eV per atom. Its space-group type is P2_1/m. Its formation energy is -0.373 eV per atom. The value obtained for the calculated total energy is -59.7 eV per cell.


Record 3
The following is a GGA-PBE calculation of crystalline Tb3Pa2Co4 at its relaxed geometry, from the Alexandria database.

Cell and atoms, written as POSCAR:
```
Tb3Pa2Co4
1.0
5.644 -1.847 0.000
5.644 1.847 0.000
-1.770 0.000 8.873
Tb Pa Co
3 2 4
Direct
0.000 0.000 0.000
0.377 0.377 0.617
0.623 0.623 0.383
0.320 0.320 0.222
0.680 0.680 0.778
0.079 0.079 0.617
0.296 0.296 0.927
0.704 0.704 0.073
0.921 0.921 0.383
```

Computed properties:
Its space-group type is C2/m. Its formation energy is -0.307 eV per atom. The value obtained for the calculated total energy is -64.1 eV per cell.


Record 4
The following is a GGA-PBE calculation of crystalline Tb2PaCo2 at its relaxed geometry, from the Alexandria database.

Cell and atoms, written as POSCAR:
```
Tb2PaCo2
1.0
-1.797 3.038 4.843
1.797 -3.038 4.843
1.797 3.038 -4.843
Tb Pa Co
2 1 2
Direct
0.193 0.193 0.000
0.807 0.807 0.000
0.500 0.000 0.500
0.216 0.500 0.716
0.784 0.500 0.284
```

Computed properties:
Its space-group type is Immm. Its formation energy is -0.340 eV per atom. The value obtained for the calculated total energy is -34.7 eV per cell.


Record 5
The following is a GGA-PBE calculation of crystalline Tb2PaCo4 at its relaxed geometry, from the Alexandria database.

Cell and atoms, written as POSCAR:
```
Tb2PaCo4
1.0
-2.174 2.174 6.735
2.174 -2.174 6.735
2.174 2.174 -6.735
Tb Pa Co
2 1 4
Direct
0.227 0.227 0.000
0.773 0.773 0.000
0.500 0.500 0.000
0.100 0.600 0.500
0.400 0.900 0.500
0.600 0.100 0.500
0.900 0.400 0.500
```

Computed properties:
Its space-group type is I4/mmm. Its formation energy is 0.094 eV per atom. The value obtained for the calculated total energy is -46.5 eV per cell.


Record 6
The following is a GGA-PBE calculation of crystalline TbPaCo4 at its relaxed geometry, from the Alexandria database.

Cell and atoms, written as POSCAR:
```
TbPaCo4
1.0
0.000 3.533 3.533
3.533 0.000 3.533
3.533 3.533 0.000
Tb Pa Co
1 1 4
Direct
0.000 0.000 0.000
0.750 0.750 0.750
0.375 0.375 0.375
0.375 0.375 0.875
0.375 0.875 0.375
0.875 0.375 0.375
```

Computed properties:
Its space-group type is F-43m. Its formation energy is -0.229 eV per atom. The value obtained for the calculated total energy is -43.9 eV per cell.


Record 7
The following is a GGA-PBE calculation of crystalline TbPaCo10 at its relaxed geometry, from the Alexandria database.

Cell and atoms, written as POSCAR:
```
TbPaCo10
1.0
4.003 0.000 0.000
0.000 4.857 0.000
0.000 0.000 8.444
Tb Pa Co
1 1 10
Direct
0.000 0.000 0.000
0.000 0.500 0.500
0.000 0.000 0.342
0.000 0.000 0.658
0.000 0.500 0.189
0.000 0.500 0.811
0.500 0.000 0.500
0.500 0.245 0.247
0.500 0.245 0.753
0.500 0.500 0.000
0.500 0.755 0.247
0.500 0.755 0.753
```

Computed properties:
Its space-group type is Pmmm. Its formation energy is -0.150 eV per atom. The value obtained for the calculated total energy is -87.0 eV per cell.


Record 8
The following is a GGA-PBE calculation of crystalline TbPaCo2 at its relaxed geometry, from the Alexandria database.

Cell and atoms, written as POSCAR:
```
TbPaCo2
1.0
7.249 0.000 0.000
0.000 4.466 0.000
0.000 0.000 9.704
Tb Pa Co
4 4 8
Direct
0.092 0.250 0.123
0.408 0.750 0.623
0.592 0.250 0.377
0.908 0.750 0.877
0.052 0.250 0.628
0.448 0.750 0.128
0.552 0.250 0.872
0.948 0.750 0.372
0.189 0.250 0.837
0.191 0.250 0.420
0.309 0.750 0.920
0.311 0.750 0.337
0.689 0.250 0.663
0.691 0.250 0.080
0.809 0.750 0.580
0.811 0.750 0.163
```

Computed properties:
As for the distance to the lowest polymorph of the same formula: 0.0872 eV per atom. Its space-group type is Pnma. Its formation energy is -0.286 eV per atom. The value obtained for the calculated total energy is -117.9 eV per cell.


Record 9
The following is a GGA-PBE calculation of crystalline Tb2PaCo3 at its relaxed geometry, from the Alexandria database.

Cell and atoms, written as POSCAR:
```
Tb2PaCo3
1.0
6.641 0.000 0.000
0.000 3.773 0.000
0.000 0.000 19.261
Tb Pa Co
8 4 12
Direct
0.117 0.250 0.093
0.235 0.250 0.281
0.265 0.750 0.781
0.383 0.750 0.593
0.617 0.250 0.407
0.735 0.250 0.219
0.765 0.750 0.719
0.883 0.750 0.907
0.084 0.750 0.426
0.416 0.250 0.926
0.584 0.750 0.074
0.916 0.250 0.574
0.046 0.750 0.204
0.100 0.250 0.669
0.248 0.750 0.987
0.252 0.250 0.487
0.400 0.750 0.169
0.454 0.250 0.704
0.546 0.750 0.296
0.600 0.250 0.831
0.748 0.750 0.513
0.752 0.250 0.013
0.900 0.750 0.331
0.954 0.250 0.796
```

Computed properties:
Its space-group type is Pnma. Its formation energy is -0.181 eV per atom. The value obtained for the calculated total energy is -164.6 eV per cell.


Record 10
The following is a GGA-PBE calculation of crystalline Tb2Pa2Co3 at its relaxed geometry, from the Alexandria database.

Cell and atoms, written as POSCAR:
```
Tb2Pa2Co3
1.0
3.603 0.000 0.000
1.781 6.208 0.000
1.786 0.726 6.702
Tb Pa Co
2 2 3
Direct
0.069 0.236 0.125
0.931 0.764 0.875
0.319 0.259 0.604
0.681 0.741 0.396
0.000 0.000 0.500
0.364 0.553 0.220
0.636 0.447 0.780
```

Computed properties:
Its space-group type is P-1. Its formation energy is -0.274 eV per atom. The value obtained for the calculated total energy is -51.5 eV per cell.


Record 11
The following is a GGA-PBE calculation of crystalline Tb2ThPaCo2 at its relaxed geometry, from the Alexandria database.

Cell and atoms, written as POSCAR:
```
Tb2ThPaCo2
1.0
-3.531 6.092 3.469
3.531 -6.092 3.469
3.531 6.092 -3.469
Tb Th Pa Co
4 2 2 4
Direct
0.204 0.201 0.405
0.296 0.701 0.998
0.704 0.299 0.002
0.796 0.799 0.595
0.250 0.750 0.500
0.750 0.250 0.500
0.250 0.250 0.000
0.750 0.750 0.000
0.076 0.781 0.856
0.424 0.281 0.705
0.576 0.719 0.295
0.924 0.219 0.144
```

Computed properties:
Its space-group type is Ibam. Its formation energy is -0.196 eV per atom. The value obtained for the calculated total energy is -83.1 eV per cell.


Record 12
The following is a GGA-PBE calculation of crystalline Tb2TmPaCo2 at its relaxed geometry, from the Alexandria database.

Cell and atoms, written as POSCAR:
```
Tb2TmPaCo2
1.0
-3.376 6.313 3.350
3.376 -6.313 3.350
3.376 6.313 -3.350
Tb Tm Pa Co
4 2 2 4
Direct
0.200 0.213 0.412
0.300 0.713 0.013
0.700 0.287 0.987
0.800 0.787 0.588
0.250 0.750 0.500
0.750 0.250 0.500
0.250 0.250 0.000
0.750 0.750 0.000
0.089 0.790 0.880
0.411 0.290 0.701
0.589 0.710 0.299
0.911 0.210 0.120
```

Computed properties:
Its space-group type is Ibam. Its formation energy is -0.209 eV per atom. The value obtained for the calculated total energy is -77.4 eV per cell.


Record 13
The following is a GGA-PBE calculation of crystalline Tb2ZrPa2Co5 at its relaxed geometry, from the Alexandria database.

Cell and atoms, written as POSCAR:
```
Tb2ZrPa2Co5
1.0
10.336 0.000 0.000
0.000 10.336 0.000
0.000 0.000 3.403
Tb Zr Pa Co
4 2 4 10
Direct
0.170 0.330 0.000
0.330 0.830 0.000
0.670 0.170 0.000
0.830 0.670 0.000
0.000 0.000 0.000
0.500 0.500 0.000
0.138 0.638 0.000
0.362 0.138 0.000
0.638 0.862 0.000
0.862 0.362 0.000
0.000 0.500 0.500
0.051 0.802 0.500
0.198 0.051 0.500
0.302 0.551 0.500
0.449 0.302 0.500
0.500 0.000 0.500
0.551 0.698 0.500
0.698 0.449 0.500
0.802 0.949 0.500
0.949 0.198 0.500
```

Computed properties:
Its space-group type is P4/mbm. Its formation energy is -0.130 eV per atom. The value obtained for the calculated total energy is -147.3 eV per cell.


Record 14
The following is a GGA-PBE calculation of crystalline Pa6Co5Tc at its relaxed geometry, from the Alexandria database.

Cell and atoms, written as POSCAR:
```
Pa6Co5Tc
1.0
3.298 -5.677 0.000
3.298 5.677 0.000
-2.153 0.000 6.293
Pa Co Tc
6 5 1
Direct
0.076 0.416 0.748
0.244 0.244 0.253
0.416 0.076 0.748
0.584 0.924 0.252
0.756 0.756 0.747
0.924 0.584 0.252
0.000 0.000 0.500
0.166 0.834 0.000
0.333 0.667 0.500
0.667 0.333 0.500
0.834 0.166 0.000
0.500 0.500 0.000
```

Computed properties:
Its space-group type is C2/m. Its formation energy is -0.281 eV per atom. The value obtained for the calculated total energy is -106.2 eV per cell.


Record 15
The following is a GGA-PBE calculation of crystalline Pa4CoTc at its relaxed geometry, from the Alexandria database.

Cell and atoms, written as POSCAR:
```
Pa4CoTc
1.0
-4.067 4.067 4.559
4.067 -4.067 4.559
4.067 4.067 -4.559
Pa Co Tc
8 2 2
Direct
0.172 0.000 0.172
0.246 0.541 0.295
0.246 0.951 0.705
0.291 0.496 0.795
0.701 0.496 0.205
0.750 0.078 0.328
0.750 0.422 0.672
0.828 0.000 0.828
0.025 0.525 0.500
0.275 0.275 0.000
0.464 0.964 0.500
0.714 0.714 0.000
```

Computed properties:
Its space-group type is I4_1md. Its formation energy is 0.177 eV per atom. The value obtained for the calculated total energy is -108.8 eV per cell.


Record 16
The following is a GGA-PBE calculation of crystalline PaCoTc2 at its relaxed geometry, from the Alexandria database.

Cell and atoms, written as POSCAR:
```
PaCoTc2
1.0
3.988 0.000 0.000
0.000 3.988 0.000
0.000 0.000 4.025
Pa Co Tc
1 1 2
Direct
0.000 0.000 0.000
0.500 0.500 0.000
0.000 0.500 0.500
0.500 0.000 0.500
```

Computed properties:
As for the distance to the lowest polymorph of the same formula: 0.0000 eV per atom. Its space-group type is P4/mmm. Its formation energy is -0.064 eV per atom. The value obtained for the calculated total energy is -37.6 eV per cell.


Record 17
The following is a GGA-PBE calculation of crystalline Pa12CoTc6 at its relaxed geometry, from the Alexandria database.

Cell and atoms, written as POSCAR:
```
Pa12CoTc6
1.0
5.756 3.323 3.910
-5.756 3.323 3.910
0.000 -6.646 3.910
Pa Co Tc
12 1 6
Direct
0.004 0.335 0.054
0.054 0.004 0.335
0.187 0.406 0.549
0.335 0.054 0.004
0.406 0.549 0.187
0.451 0.813 0.594
0.549 0.187 0.406
0.594 0.451 0.813
0.665 0.946 0.996
0.813 0.594 0.451
0.946 0.996 0.665
0.996 0.665 0.946
0.000 0.000 0.000
0.132 0.654 0.345
0.345 0.132 0.654
0.346 0.655 0.868
0.654 0.345 0.132
0.655 0.868 0.346
0.868 0.346 0.655
```

Computed properties:
Its space-group type is R-3. Its formation energy is 0.038 eV per atom. The value obtained for the calculated total energy is -182.5 eV per cell.


Record 18
The following is a GGA-PBE calculation of crystalline Pa2Co2Tc at its relaxed geometry, from the Alexandria database.

Cell and atoms, written as POSCAR:
```
Pa2Co2Tc
1.0
4.784 -2.319 0.000
4.784 2.319 0.000
-1.203 0.000 7.906
Pa Co Tc
4 4 2
Direct
0.008 0.701 0.850
0.299 0.992 0.650
0.701 0.008 0.350
0.992 0.299 0.150
0.269 0.462 0.506
0.462 0.269 0.006
0.538 0.731 0.994
0.731 0.538 0.494
0.277 0.723 0.250
0.723 0.277 0.750
```

Computed properties:
Its space-group type is C2/c. Its formation energy is -0.315 eV per atom. The value obtained for the calculated total energy is -90.3 eV per cell.


Record 19
The following is a GGA-PBE calculation of crystalline PaCoTc2 at its relaxed geometry, from the Alexandria database.

Cell and atoms, written as POSCAR:
```
PaCoTc2
1.0
1.399 0.808 10.119
-1.399 0.808 10.119
0.000 -1.616 10.119
Pa Co Tc
1 1 2
Direct
0.000 0.000 0.000
0.500 0.500 0.500
0.422 0.422 0.422
0.578 0.578 0.578
```

Computed properties:
As for the distance to the lowest polymorph of the same formula: 0.8556 eV per atom. Its space-group type is R-3m. Its formation energy is 0.792 eV per atom. The value obtained for the calculated total energy is -34.2 eV per cell.


Record 20
The following is a GGA-PBE calculation of crystalline PaCoTc2 at its relaxed geometry, from the Alexandria database.

Cell and atoms, written as POSCAR:
```
PaCoTc2
1.0
0.000 3.201 3.201
3.201 0.000 3.201
3.201 3.201 0.000
Pa Co Tc
1 1 2
Direct
0.000 0.000 0.000
0.500 0.500 0.500
0.250 0.250 0.250
0.750 0.750 0.750
```

Computed properties:
As for the distance to the lowest polymorph of the same formula: 0.1632 eV per atom. Its space-group type is Fm-3m. Its formation energy is 0.100 eV per atom. The value obtained for the calculated total energy is -36.9 eV per cell.


Record 21
The following is a GGA-PBE calculation of crystalline Pa2Co3Tc at its relaxed geometry, from the Alexandria database.

Cell and atoms, written as POSCAR:
```
Pa2Co3Tc
1.0
4.328 -2.503 0.000
4.328 2.503 0.000
-2.897 0.000 4.276
Pa Co Tc
2 3 1
Direct
0.124 0.124 0.371
0.876 0.876 0.629
0.000 0.500 0.000
0.500 0.000 0.000
0.500 0.500 0.000
0.500 0.500 0.500
```

Computed properties:
Its space-group type is C2/m. Its formation energy is -0.287 eV per atom. The value obtained for the calculated total energy is -52.4 eV per cell.


Record 22
The following is a GGA-PBE calculation of crystalline ThPaCoTc at its relaxed geometry, from the Alexandria database.

Cell and atoms, written as POSCAR:
```
ThPaCoTc
1.0
0.000 3.450 3.450
3.450 0.000 3.450
3.450 3.450 0.000
Th Pa Co Tc
1 1 1 1
Direct
0.000 0.000 0.000
0.500 0.500 0.500
0.750 0.750 0.750
0.250 0.250 0.250
```

Computed properties:
Its space-group type is F-43m. Its formation energy is -0.050 eV per atom. The value obtained for the calculated total energy is -34.6 eV per cell.


Record 23
The following is a GGA-PBE calculation of crystalline PaTiCoTc at its relaxed geometry, from the Alexandria database.

Cell and atoms, written as POSCAR:
```
PaTiCoTc
1.0
0.000 3.223 3.223
3.223 0.000 3.223
3.223 3.223 0.000
Pa Ti Co Tc
1 1 1 1
Direct
0.000 0.000 0.000
0.500 0.500 0.500
0.250 0.250 0.250
0.750 0.750 0.750
```

Computed properties:
Its space-group type is F-43m. Its formation energy is -0.224 eV per atom. The value obtained for the calculated total energy is -35.8 eV per cell.